{
  "formula": "K2CoO2",
  "functional": "PBE+U",
  "state": "relaxed",
  "lattice_angstrom": [[6.4790, 0.0000, 0.0000], [0.0000, 9.4532, 0.0000], [-3.0646, 0.0000, 6.1753]],
  "species": ["K", "K", "K", "K", "K", "K", "K", "K", "Co", "Co", "Co", "Co", "O", "O", "O", "O", "O", "O", "O", "O"],
  "fractional_positions": [[0.2188, 0.0851, 0.3997], [0.2188, 0.4149, 0.8997], [0.2559, 0.7357, 0.6395], [0.2559, 0.7643, 0.1395], [0.7441, 0.2357, 0.8605], [0.7441, 0.2643, 0.3605], [0.7812, 0.5851, 0.1003], [0.7812, 0.9149, 0.6003], [0.2965, 0.0704, 0.9073], [0.2965, 0.4296, 0.4073], [0.7035, 0.5704, 0.5927], [0.7035, 0.9296, 0.0927], [0.0412, 0.1529, 0.7209], [0.0412, 0.3471, 0.2209], [0.4901, 0.0204, 0.1953], [0.4901, 0.4796, 0.6953], [0.5099, 0.5204, 0.3047], [0.5099, 0.9796, 0.8047], [0.9588, 0.6529, 0.7791], [0.9588, 0.8471, 0.2791]],
  "spacegroup": "P2_1/c, No. 14",
  "e_tot_ev_per_cell": -92.84
}